# 1
Zn3Ir after structural relaxation. Source: Alexandria, functional PBE-GGA.

extended XYZ file:
```
8
Lattice="-3.262 -2.731 2.400 1.811 -4.016 -2.108 3.152 -0.517 3.695" Properties=species:S:1:pos:R:3 pbc="T T T"
Zn 0.090 -2.691 -0.454
Zn 2.935 -3.271 0.267
Zn -1.541 -4.056 0.746
Zn -0.843 -1.495 2.124
Zn 0.733 -1.753 3.971
Zn 2.029 -1.263 1.321
Ir 0.851 -3.632 1.994
Ir 0.000 0.000 0.000
```

Output
energy of formation from the pure elements: -0.3 eV per formula unit
magnetization: 0.0 Bohr magnetons per cell

=====

# 2
Zn7Ir3 after structural relaxation. Source: Alexandria, functional PBE-GGA.

extended XYZ file:
```
10
Lattice="3.913 0.000 0.000 0.000 5.342 0.197 -1.957 -1.526 6.714" Properties=species:S:1:pos:R:3 pbc="T T T"
Ir 1.957 1.135 4.228
Ir 0.000 0.000 0.000
Ir 0.000 2.680 2.683
Zn 0.000 2.671 0.098
Zn 1.957 4.011 1.469
Zn 1.957 1.299 1.506
Zn 1.957 3.815 4.152
Zn 0.000 2.517 5.405
Zn 0.000 0.000 2.759
Zn 0.000 -0.196 5.442
```

Output
energy of formation from the pure elements: -2.0 eV per formula unit
magnetization: 0.0 Bohr magnetons per cell

=====

# 3
ZnIr after structural relaxation. Source: Alexandria, functional PBE-GGA.

extended XYZ file:
```
4
Lattice="2.756 -0.001 0.000 -1.408 2.370 0.000 0.000 0.000 9.035" Properties=species:S:1:pos:R:3 pbc="T T T"
Ir 0.674 1.185 6.756
Ir 0.000 0.000 0.020
Zn 0.000 0.000 4.536
Zn 0.674 1.185 2.241
```

Output
energy of formation from the pure elements: 0.1 eV per formula unit
magnetization: 0.0 Bohr magnetons per cell

=====

# 4
Zn2Ir3 after structural relaxation. Source: Alexandria, functional PBE-GGA.

extended XYZ file:
```
5
Lattice="-10.278 1.309 3.304 1.060 -0.777 2.442 1.153 1.887 1.674" Properties=species:S:1:pos:R:3 pbc="T T T"
Ir 0.000 0.000 0.000
Ir -5.742 1.010 2.814
Ir -2.323 1.408 4.606
Zn -6.910 1.716 5.121
Zn -1.154 0.703 2.300
```

Output
energy of formation from the pure elements: -0.5 eV per formula unit
distance to the lowest polymorph of the same formula: 0.00 eV per formula unit
magnetization: 0.0 Bohr magnetons per cell

=====

# 5
ZnIr after structural relaxation. Source: Alexandria, functional PBE-GGA.

extended XYZ file:
```
2
Lattice="-1.855 -1.772 1.143 0.391 0.022 -2.781 2.997 -2.881 0.399" Properties=species:S:1:pos:R:3 pbc="T T T"
Zn 0.392 -2.614 0.035
Ir 0.000 0.000 0.000
```

Output
energy of formation from the pure elements: -0.4 eV per formula unit
magnetization: 0.0 Bohr magnetons per cell

=====

# 6
ZnIr after structural relaxation. Source: Alexandria, functional PBE-GGA.

extended XYZ file:
```
2
Lattice="-0.284 3.379 -1.103 -3.016 1.814 0.570 -0.061 2.653 2.381" Properties=species:S:1:pos:R:3 pbc="T T T"
Zn -1.681 3.923 0.924
Ir 0.000 0.000 0.000
```

Output
energy of formation from the pure elements: 1.2 eV per formula unit
magnetization: 0.0 Bohr magnetons per cell

=====

# 7
ZnIr after structural relaxation. Source: Alexandria, functional PBE-GGA.

extended XYZ file:
```
16
Lattice="-2.231 6.090 5.448 3.114 -4.588 6.403 3.502 1.710 -0.478" Properties=species:S:1:pos:R:3 pbc="T T T"
Zn -1.446 4.771 6.486
Zn 0.711 4.357 4.674
Zn -0.291 1.020 1.518
Zn 1.174 0.481 10.334
Zn 2.328 -3.270 5.366
Zn 2.299 0.522 2.588
Zn 3.674 -1.145 6.700
Zn 2.086 2.690 8.786
Ir 1.209 2.794 2.728
Ir 1.048 4.365 7.175
Ir 3.176 0.418 8.646
Ir -0.025 1.265 4.348
Ir 1.066 -0.713 5.264
Ir -0.183 2.215 6.587
Ir 0.907 0.237 7.504
Ir 3.337 -1.153 4.199
```

Output
energy of formation from the pure elements: 0.5 eV per formula unit
magnetization: 0.0 Bohr magnetons per cell

=====

# 8
ZnIr3 after structural relaxation. Source: Alexandria, functional PBE-GGA.

extended XYZ file:
```
4
Lattice="4.738 -0.016 0.000 -1.615 4.455 0.000 0.000 0.000 2.740" Properties=species:S:1:pos:R:3 pbc="T T T"
Ir 2.369 -0.008 1.370
Ir 0.000 0.000 0.000
Ir -0.808 2.227 1.370
Zn 1.562 2.219 0.000
```

Output
energy of formation from the pure elements: -0.1 eV per formula unit
magnetization: 0.0 Bohr magnetons per cell

=====

# 9
ZnIr after structural relaxation. Source: Alexandria, functional PBE-GGA.

extended XYZ file:
```
12
Lattice="-2.432 6.184 1.867 -3.943 -3.001 4.805 5.117 0.627 4.590" Properties=species:S:1:pos:R:3 pbc="T T T"
Zn -0.692 -1.344 3.550
Zn -2.202 2.342 2.135
Zn 1.866 -1.030 5.845
Zn 0.734 4.951 3.695
Zn 1.950 1.860 2.762
Zn -4.173 0.841 4.537
Ir -3.796 3.137 3.802
Ir -2.579 0.045 2.869
Ir 1.573 -0.437 3.496
Ir 2.621 3.562 4.376
Ir 0.063 3.249 2.081
Ir -0.399 -1.937 5.899
```

Output
energy of formation from the pure elements: 2.8 eV per formula unit
magnetization: 4.7 Bohr magnetons per cell

=====

# 10
ZnIr after structural relaxation. Source: Alexandria, functional PBE-GGA.

extended XYZ file:
```
4
Lattice="-2.316 -3.051 -2.503 -1.468 -4.622 2.259 -2.275 1.627 0.122" Properties=species:S:1:pos:R:3 pbc="T T T"
Ir -3.342 -2.937 -0.348
Ir -4.862 -5.143 0.766
Zn -2.542 -4.386 1.784
Zn -1.070 -2.271 1.016
```

Output
energy of formation from the pure elements: -0.4 eV per formula unit
magnetization: 0.0 Bohr magnetons per cell

=====

# 11
ZnIr after structural relaxation. Source: Alexandria, functional PBE-GGA.

extended XYZ file:
```
8
Lattice="-2.581 -4.220 -0.674 3.450 -2.522 2.581 -2.555 0.879 4.274" Properties=species:S:1:pos:R:3 pbc="T T T"
Zn 2.286 -2.850 1.953
Zn -1.417 -3.892 -0.046
Zn -1.011 -1.631 2.722
Zn -0.675 -4.232 3.458
Ir -2.714 -3.458 2.080
Ir 0.269 -2.092 0.591
Ir 1.028 -2.405 4.100
Ir 0.599 -4.650 1.315
```

Output
energy of formation from the pure elements: 0.9 eV per formula unit
magnetization: 0.0 Bohr magnetons per cell

=====

# 12
Zn5Ir2 after structural relaxation. Source: Alexandria, functional PBE-GGA.

extended XYZ file:
```
14
Lattice="4.584 0.000 0.000 -2.292 6.224 -0.864 0.000 0.085 7.112" Properties=species:S:1:pos:R:3 pbc="T T T"
Ir 0.851 5.265 5.646
Ir 1.441 1.045 0.602
Ir 3.143 1.087 4.158
Ir -0.851 5.223 2.090
Zn -0.721 3.615 4.285
Zn 1.571 2.738 5.519
Zn -1.459 4.659 -0.358
Zn 3.672 0.021 1.778
Zn 0.834 1.608 3.051
Zn 0.721 3.572 0.730
Zn 1.459 4.702 3.197
Zn 0.912 0.064 5.334
Zn 3.751 1.651 6.607
Zn 3.014 2.695 1.963
```

Output
energy of formation from the pure elements: -1.3 eV per formula unit
magnetization: 0.0 Bohr magnetons per cell

=====

# 13
Zn4Ir3 after structural relaxation. Source: Alexandria, functional PBE-GGA.

extended XYZ file:
```
7
Lattice="2.629 -4.554 0.000 2.629 4.554 0.000 0.000 0.000 4.591" Properties=species:S:1:pos:R:3 pbc="T T T"
Ir 1.315 -2.277 0.000
Ir 1.315 2.277 0.000
Ir 2.629 0.000 0.000
Zn 0.000 0.000 1.155
Zn 0.000 0.000 3.436
Zn 2.629 -1.518 2.295
Zn 2.629 1.518 2.295
```

Output
energy of formation from the pure elements: 0.8 eV per formula unit
magnetization: 0.9 Bohr magnetons per cell

=====

# 14
Zn5Ir after structural relaxation. Source: Alexandria, functional PBE-GGA.

extended XYZ file:
```
6
Lattice="-2.561 -1.387 0.328 1.915 -5.705 3.918 -0.736 2.204 3.568" Properties=species:S:1:pos:R:3 pbc="T T T"
Zn -0.404 -4.769 2.862
Zn -0.057 -4.789 5.487
Zn -0.276 -2.269 1.345
Zn -2.210 -1.411 2.956
Zn 0.126 -2.374 4.033
Ir 1.910 -5.697 3.912
```

Output
energy of formation from the pure elements: -0.6 eV per formula unit
magnetization: 0.0 Bohr magnetons per cell

=====

# 15
ZnIr after structural relaxation. Source: Alexandria, functional PBE-GGA.

extended XYZ file:
```
4
Lattice="-3.348 1.590 2.276 -0.443 -1.008 4.208 0.684 3.029 3.046" Properties=species:S:1:pos:R:3 pbc="T T T"
Ir -0.389 0.452 1.192
Ir -2.719 3.160 8.338
Zn -1.942 2.257 5.956
Zn -1.165 1.354 3.574
```

Output
energy of formation from the pure elements: 0.2 eV per formula unit
magnetization: 0.8 Bohr magnetons per cell

=====

# 16
ZnIr2 after structural relaxation. Source: Alexandria, functional PBE-GGA.

extended XYZ file:
```
6
Lattice="0.000 3.657 3.657 3.657 0.000 3.657 3.657 3.657 0.000" Properties=species:S:1:pos:R:3 pbc="T T T"
Ir 2.743 2.743 4.571
Ir 4.571 4.571 4.571
Ir 4.571 2.743 2.743
Ir 2.743 4.571 2.743
Zn 1.828 1.828 1.828
Zn 0.000 0.000 0.000
```

Output
energy of formation from the pure elements: 1.0 eV per formula unit
magnetization: 0.0 Bohr magnetons per cell

=====

# 17
ZnIr2 after structural relaxation. Source: Alexandria, functional PBE-GGA.

extended XYZ file:
```
12
Lattice="11.910 0.012 0.000 10.648 5.336 0.000 -11.279 -2.674 2.736" Properties=species:S:1:pos:R:3 pbc="T T T"
Ir 7.871 0.460 1.368
Ir 9.363 2.220 0.000
Ir 4.039 -0.448 1.368
Ir 16.991 4.028 0.000
Ir 5.568 1.320 0.000
Ir -0.244 1.348 1.368
Ir 10.892 3.988 1.368
Ir 13.195 3.128 0.000
Zn 20.722 4.912 0.000
Zn 1.837 0.435 0.000
Zn 3.487 2.232 1.368
Zn 7.161 3.103 1.368
```

Output
energy of formation from the pure elements: 0.1 eV per formula unit
magnetization: 0.0 Bohr magnetons per cell

=====

# 18
ZnIr after structural relaxation. Source: Alexandria, functional PBE-GGA.

extended XYZ file:
```
32
Lattice="4.316 0.000 0.000 0.000 14.834 0.000 0.000 0.000 7.753" Properties=species:S:1:pos:R:3 pbc="T T T"
Zn 0.000 0.000 2.612
Zn 0.000 7.417 6.488
Zn 2.158 7.417 2.612
Zn 2.158 0.000 1.265
Zn 3.237 3.708 4.550
Zn 1.079 3.708 0.674
Zn 1.079 11.125 7.079
Zn 1.079 3.708 3.203
Zn 3.237 11.125 3.203
Zn 0.000 7.417 1.265
Zn 3.237 3.708 7.079
Zn 2.158 7.417 5.141
Zn 2.158 0.000 6.488
Zn 0.000 0.000 5.141
Zn 1.079 11.125 4.550
Zn 3.237 11.125 0.674
Ir 1.079 9.862 1.938
Ir 3.237 9.862 5.815
Ir 3.237 12.389 5.815
Ir 3.237 2.445 1.938
Ir 1.079 12.389 1.938
Ir 3.237 4.972 1.938
Ir 1.079 2.445 5.815
Ir 0.000 13.571 0.000
Ir 0.000 6.154 3.876
Ir 0.000 1.263 0.000
Ir 2.158 6.154 0.000
Ir 2.158 1.263 3.876
Ir 0.000 8.680 3.876
Ir 2.158 13.571 3.876
Ir 1.079 4.972 5.815
Ir 2.158 8.680 0.000
```

Output
energy of formation from the pure elements: 0.1 eV per formula unit
magnetization: 0.0 Bohr magnetons per cell

=====

# 19
ZnIr after structural relaxation. Source: Alexandria, functional PBE-GGA.

extended XYZ file:
```
4
Lattice="2.760 0.000 0.000 -1.380 8.827 0.001 1.380 -0.216 2.381" Properties=species:S:1:pos:R:3 pbc="T T T"
Zn 1.380 4.329 1.193
Zn 2.760 2.021 1.784
Ir 0.000 6.568 0.596
Ir 2.760 8.608 2.382
```

Output
energy of formation from the pure elements: -0.1 eV per formula unit
magnetization: 0.0 Bohr magnetons per cell

=====

# 20
ZnIr after structural relaxation. Source: Alexandria, functional PBE-GGA.

extended XYZ file:
```
4
Lattice="-3.651 -0.328 -2.610 -2.462 -1.100 3.582 -0.568 2.739 0.450" Properties=species:S:1:pos:R:3 pbc="T T T"
Zn -1.994 -0.239 -1.060
Zn -2.577 0.345 3.562
Ir -3.509 0.580 0.956
Ir -1.062 -0.475 1.546
```

Output
energy of formation from the pure elements: -0.2 eV per formula unit
magnetization: 0.0 Bohr magnetons per cell